No. 1
! Na2PH11O8 PBE relaxed; values from VASP
! - Symmetry: Pmn2_1 (31)
! - Total magnetization: 0.00 μB/f.u.
! - Final energy: -226.73 eV per cell
! - DOS at the Fermi energy: 0.00 states/eV per cell
&SYSTEM
  ibrav = 0, nat = 44, ntyp = 4
/
ATOMIC_SPECIES
H 1.01 H.upf
O 16.00 O.upf
P 30.97 P.upf
Na 22.99 Na.upf
CELL_PARAMETERS angstrom
-1.2107 -1.9046 6.0260
3.5363 -6.1556 -1.2351
7.9267 3.9817 2.8511
ATOMIC_POSITIONS crystal
H 0.4500 0.6625 0.6054
H 0.8700 0.2482 0.9136
H 0.1300 0.7482 0.4136
H 0.9007 0.5000 0.3544
H 0.8211 0.8890 0.5428
H 0.1489 0.7865 0.2468
H 0.8511 0.2865 0.7468
H 0.0993 0.0000 0.8544
H 0.4500 0.3375 0.6054
H 0.1489 0.2135 0.2468
H 0.7836 0.2061 0.1421
H 0.2164 0.7061 0.6421
H 0.2164 0.2939 0.6421
H 0.8511 0.7135 0.7468
H 0.1300 0.2518 0.4136
H 0.1789 0.3890 0.0428
H 0.5500 0.8375 0.1054
H 0.5500 0.1625 0.1054
H 0.8211 0.1110 0.5428
H 0.8700 0.7518 0.9136
H 0.7836 0.7939 0.1421
H 0.1789 0.6110 0.0428
O 0.7686 0.2646 0.8350
O 0.3600 0.7275 0.6760
O 0.6151 0.5000 0.5141
O 0.3849 0.0000 0.0141
O 0.9552 0.6782 0.5645
O 0.0448 0.1782 0.0645
O 0.9552 0.3218 0.5645
O 0.2703 0.5000 0.0391
O 0.6400 0.2275 0.1760
O 0.6400 0.7725 0.1760
O 0.2314 0.2354 0.3350
O 0.2314 0.7646 0.3350
O 0.7297 0.0000 0.5391
O 0.3600 0.2725 0.6760
O 0.0448 0.8218 0.0645
O 0.7686 0.7354 0.8350
P 0.1471 0.0000 0.0029
P 0.8529 0.5000 0.5029
Na 0.4953 0.0000 0.3506
Na 0.5389 0.0000 0.7691
Na 0.5047 0.5000 0.8506
Na 0.4611 0.5000 0.2691

=====

No. 2
! NaPH2O4 PBE relaxed; values from VASP
! - Energy above the lowest structure with this stoichiometry: 3.1 kJ per mole of atoms
! - Symmetry: P2_1/c (14)
! - Total magnetization: 0.00 μB/f.u.
! - DOS at the Fermi energy: 0.00 states/eV per cell
&SYSTEM
  ibrav = 0, nat = 64, ntyp = 4
/
ATOMIC_SPECIES
O 16.00 O.upf
H 1.01 H.upf
P 30.97 P.upf
Na 22.99 Na.upf
CELL_PARAMETERS angstrom
6.2381 -0.0092 0.0000
-0.2582 9.7837 0.0000
0.0000 0.0000 12.5026
ATOMIC_POSITIONS crystal
O 0.4882 0.3794 0.3992
O 0.4314 0.3390 0.9938
O 0.9442 0.3830 0.0863
O 0.1789 0.6245 0.4779
O 0.7678 0.4956 0.2746
O 0.4314 0.8390 0.5062
O 0.3551 0.5214 0.2516
O 0.9445 0.8003 0.6865
O 0.4342 0.8626 0.9043
O 0.8211 0.3755 0.5221
O 0.5686 0.6610 0.0062
O 0.9442 0.8830 0.4137
O 0.3551 0.0214 0.2484
O 0.6449 0.4786 0.7484
O 0.4882 0.8794 0.1008
O 0.5118 0.1206 0.8992
O 0.0558 0.1170 0.5863
O 0.5686 0.1610 0.4938
O 0.0555 0.1997 0.3135
O 0.0555 0.6997 0.1865
O 0.9445 0.3003 0.8135
O 0.5658 0.1374 0.0957
O 0.5118 0.6206 0.6008
O 0.0558 0.6170 0.9137
O 0.6449 0.9786 0.7516
O 0.1789 0.1245 0.0221
O 0.8211 0.8755 0.9779
O 0.2322 0.0044 0.7746
O 0.7678 0.9956 0.2254
O 0.5658 0.6374 0.4043
O 0.2322 0.5044 0.7254
O 0.4342 0.3626 0.5957
H 0.9297 0.6435 0.2082
H 0.9297 0.1435 0.2918
H 0.8259 0.8413 0.7263
H 0.1319 0.1044 0.6544
H 0.1741 0.1587 0.2737
H 0.8681 0.8956 0.3456
H 0.0703 0.8565 0.7082
H 0.0094 0.7117 0.9160
H 0.1319 0.6044 0.8456
H 0.0094 0.2117 0.5840
H 0.9906 0.2883 0.0840
H 0.0703 0.3565 0.7918
H 0.8681 0.3956 0.1544
H 0.9906 0.7883 0.4160
H 0.1741 0.6587 0.2263
H 0.8259 0.3413 0.7737
P 0.3985 0.1883 0.0042
P 0.6015 0.8117 0.9958
P 0.4518 0.4907 0.6780
P 0.5482 0.5093 0.3220
P 0.5482 0.0093 0.1780
P 0.6015 0.3117 0.5042
P 0.3985 0.6883 0.4958
P 0.4518 0.9907 0.8220
Na 0.9336 0.0772 0.8753
Na 0.7423 0.4697 0.9387
Na 0.0664 0.9228 0.1247
Na 0.2577 0.5303 0.0613
Na 0.9336 0.5772 0.6247
Na 0.0664 0.4228 0.3753
Na 0.2577 0.0303 0.4387
Na 0.7423 0.9697 0.5613

=====

No. 3
! NaPH2O4 PBE relaxed; values from VASP
! - Energy above the lowest structure with this stoichiometry: 2.9 kJ per mole of atoms
! - Symmetry: P-1 (2)
! - Total magnetization: 0.06 μB/f.u.
! - DOS at the Fermi energy: 0.00 states/eV per cell
&SYSTEM
  ibrav = 0, nat = 32, ntyp = 4
/
ATOMIC_SPECIES
O 16.00 O.upf
Na 22.99 Na.upf
H 1.01 H.upf
P 30.97 P.upf
CELL_PARAMETERS angstrom
-4.4248 3.3974 3.2620
-2.8877 -2.2284 -5.6397
-0.2910 -8.6478 4.3046
ATOMIC_POSITIONS crystal
O 0.4270 0.1705 0.0817
O 0.1992 0.8748 0.2978
O 0.3183 0.4876 0.1705
O 0.1964 0.0882 0.7186
O 0.6817 0.5124 0.8295
O 0.8288 0.3374 0.3595
O 0.8036 0.9118 0.2814
O 0.8008 0.1252 0.7022
O 0.9544 0.8794 0.8578
O 0.1712 0.6626 0.6405
O 0.8879 0.7205 0.0741
O 0.5730 0.8295 0.9183
O 0.3558 0.2597 0.4969
O 0.0456 0.1206 0.1422
O 0.1121 0.2795 0.9259
O 0.6442 0.7403 0.5031
Na 0.4337 0.8336 0.1351
Na 0.2444 0.5574 0.4099
Na 0.5663 0.1664 0.8649
Na 0.7556 0.4426 0.5901
H 0.3242 0.1284 0.4326
H 0.8304 0.1910 0.3443
H 0.7162 0.3423 0.2742
H 0.2838 0.6577 0.7258
H 0.7111 0.7902 0.4240
H 0.1696 0.8090 0.6557
H 0.2889 0.2098 0.5760
H 0.6758 0.8716 0.5674
P 0.2508 0.2726 0.0876
P 0.7492 0.7274 0.9124
P 0.9888 0.9047 0.2127
P 0.0112 0.0953 0.7873

=====

No. 4
! Na2PHO4 PBE relaxed; values from VASP
! - Energy above the lowest structure with this stoichiometry: 68.1 kJ per mole of atoms
! - Symmetry: Imma (74)
! - Total magnetization: 0.00 μB/f.u.
! - DOS at the Fermi energy: 0.00 states/eV per cell
&SYSTEM
  ibrav = 0, nat = 16, ntyp = 4
/
ATOMIC_SPECIES
Na 22.99 Na.upf
O 16.00 O.upf
P 30.97 P.upf
H 1.01 H.upf
CELL_PARAMETERS angstrom
5.8504 0.8179 -0.2180
0.8137 5.8510 -0.2180
-3.4790 -3.4814 4.9338
ATOMIC_POSITIONS crystal
Na 0.0000 0.0000 0.5000
Na 0.5000 0.0000 0.5000
Na 0.5000 0.5000 0.0000
Na 0.5000 0.0000 0.0000
O 0.6570 0.2434 0.4503
O 0.1823 0.3171 0.0532
O 0.8171 0.6823 0.5532
O 0.3430 0.7566 0.5497
O 0.1829 0.3177 0.4468
O 0.7434 0.1570 0.9503
O 0.2566 0.8430 0.0497
O 0.8177 0.6829 0.9468
P 0.5000 0.5000 0.5000
P 0.0000 0.0000 0.0000
H 0.0000 0.5000 0.5000
H 0.0000 0.5000 0.0000

=====

No. 5
! NaPH7O6 PBE relaxed; values from VASP
! - Symmetry: C2/c (15)
! - Total magnetization: 0.00 μB/f.u.
! - Final energy: -322.03 eV per cell
! - DOS at the Fermi energy: 0.00 states/eV per cell
&SYSTEM
  ibrav = 0, nat = 60, ntyp = 4
/
ATOMIC_SPECIES
O 16.00 O.upf
H 1.01 H.upf
P 30.97 P.upf
Na 22.99 Na.upf
CELL_PARAMETERS angstrom
-4.6604 -2.1717 -4.7444
-2.9046 -7.2979 1.0355
-10.9661 1.7903 4.7942
ATOMIC_POSITIONS crystal
O 0.3889 0.5870 0.8801
O 0.2557 0.4673 0.6462
O 0.6066 0.1730 0.9169
O 0.7443 0.5327 0.3538
O 0.8713 0.6741 0.8842
O 0.3692 0.0327 0.8538
O 0.1151 0.5346 0.3304
O 0.5704 0.1741 0.3842
O 0.7759 0.7951 0.4299
O 0.8560 0.9130 0.6199
O 0.1440 0.0870 0.3801
O 0.6111 0.4130 0.1199
O 0.0009 0.7049 0.0701
O 0.2241 0.2049 0.5701
O 0.0199 0.0346 0.8304
O 0.3035 0.6730 0.4169
O 0.4296 0.8259 0.6158
O 0.9991 0.2951 0.9299
O 0.6308 0.9673 0.1462
O 0.9801 0.9654 0.1696
O 0.8849 0.4654 0.6696
O 0.6965 0.3270 0.5831
O 0.1287 0.3259 0.1158
O 0.3934 0.8270 0.0831
H 0.8571 0.8709 0.5497
H 0.4483 0.2057 0.4524
H 0.1064 0.2943 0.0476
H 0.8042 0.0526 0.6020
H 0.8532 0.0921 0.8615
H 0.4796 0.8748 0.1113
H 0.5411 0.5526 0.1020
H 0.4656 0.6252 0.3887
H 0.1958 0.9474 0.3980
H 0.1468 0.9079 0.1385
H 0.4589 0.4474 0.8980
H 0.7223 0.3709 0.0497
H 0.9210 0.5332 0.8996
H 0.1429 0.1291 0.4503
H 0.0790 0.4668 0.1004
H 0.2777 0.6291 0.9503
H 0.1932 0.5921 0.3615
H 0.7198 0.3840 0.5001
H 0.8936 0.7057 0.9524
H 0.5204 0.1252 0.8887
H 0.8068 0.4079 0.6385
H 0.6462 0.0332 0.3996
H 0.2802 0.6160 0.4999
H 0.6039 0.1160 0.9999
H 0.5344 0.3748 0.6113
H 0.3961 0.8840 0.0001
H 0.3538 0.9668 0.6004
H 0.5517 0.7943 0.5476
P 0.8624 0.8364 0.1621
P 0.1390 0.3364 0.6621
P 0.1376 0.1636 0.8379
P 0.8610 0.6636 0.3379
Na 0.3773 0.2428 0.2341
Na 0.8542 0.2572 0.2659
Na 0.6227 0.7572 0.7659
Na 0.1458 0.7428 0.7341

=====

No. 6
! Na5P3H12O16 PBE relaxed; values from VASP
! - Symmetry: P-1 (2)
! - Total magnetization: 0.04 μB/f.u.
! - Final energy: -402.88 eV per cell
! - DOS at the Fermi energy: 0.00 states/eV per cell
&SYSTEM
  ibrav = 0, nat = 72, ntyp = 4
/
ATOMIC_SPECIES
H 1.01 H.upf
Na 22.99 Na.upf
O 16.00 O.upf
P 30.97 P.upf
CELL_PARAMETERS angstrom
7.5818 -0.0162 0.0024
-0.3886 9.9093 -0.0165
-0.8606 -0.1815 10.3985
ATOMIC_POSITIONS crystal
H 0.4384 0.5875 0.5961
H 0.0572 0.9919 0.3832
H 0.9428 0.0081 0.6168
H 0.4377 0.9136 0.5954
H 0.6205 0.7563 0.3750
H 0.3325 0.7578 0.7523
H 0.0960 0.9134 0.5882
H 0.9129 0.5093 0.5998
H 0.5623 0.0864 0.4046
H 0.3830 0.0029 0.3938
H 0.8270 0.7468 0.3731
H 0.6094 0.2808 0.1064
H 0.3914 0.4965 0.3983
H 0.0850 0.6004 0.5852
H 0.3795 0.2437 0.6250
H 0.5616 0.4125 0.4039
H 0.6675 0.2422 0.2477
H 0.1730 0.2532 0.6269
H 0.0871 0.4907 0.4002
H 0.6170 0.9971 0.6062
H 0.3906 0.7192 0.8936
H 0.9150 0.3996 0.4148
H 0.6086 0.5035 0.6017
H 0.9040 0.0866 0.4118
Na 0.5828 0.0580 0.8576
Na 0.0470 0.5897 0.8645
Na 0.5736 0.4500 0.8524
Na 0.4172 0.9420 0.1424
Na 0.9094 0.0659 0.1208
Na 0.0906 0.9341 0.8792
Na 0.7695 0.7578 0.6545
Na 0.4264 0.5500 0.1476
Na 0.9530 0.4103 0.1355
Na 0.2305 0.2422 0.3455
O 0.1617 0.2434 0.1159
O 0.9347 0.2684 0.6978
O 0.6651 0.9060 0.0284
O 0.7143 0.2520 0.1642
O 0.8926 0.1286 0.8980
O 0.2857 0.7480 0.8358
O 0.5987 0.2516 0.7033
O 0.4538 0.0692 0.3464
O 0.9876 0.5839 0.6417
O 0.2487 0.8782 0.4689
O 0.7450 0.3803 0.5245
O 0.0653 0.7316 0.3022
O 0.1074 0.8714 0.1020
O 0.1642 0.2894 0.8744
O 0.8383 0.7566 0.8841
O 0.4396 0.3405 0.0189
O 0.0124 0.4161 0.3583
O 0.5462 0.9308 0.6536
O 0.8358 0.7106 0.1256
O 0.0111 0.9334 0.6527
O 0.5457 0.5686 0.6525
O 0.9889 0.0666 0.3473
O 0.7332 0.7597 0.4301
O 0.7513 0.1218 0.5311
O 0.3349 0.0940 0.9716
O 0.8699 0.3898 0.9072
O 0.4543 0.4314 0.3475
O 0.5604 0.6595 0.9811
O 0.1301 0.6102 0.0928
O 0.4013 0.7484 0.2967
O 0.2668 0.2403 0.5699
O 0.2550 0.6197 0.4755
P 0.2831 0.2361 0.0066
P 0.9522 0.2662 0.8542
P 0.2582 0.7459 0.3907
P 0.0478 0.7338 0.1458
P 0.7418 0.2541 0.6093
P 0.7169 0.7639 0.9934

=====

No. 7
! Na6P2H2O9 PBE relaxed; values from VASP
! - Symmetry: C2/c (15)
! - Total magnetization: 0.08 μB/f.u.
! - Final energy: -216.11 eV per cell
! - DOS at the Fermi energy: 0.00 states/eV per cell
&SYSTEM
  ibrav = 0, nat = 38, ntyp = 4
/
ATOMIC_SPECIES
Na 22.99 Na.upf
O 16.00 O.upf
P 30.97 P.upf
H 1.01 H.upf
CELL_PARAMETERS angstrom
5.6336 0.0358 0.0277
2.9514 4.7988 0.0277
3.4130 1.9220 16.6208
ATOMIC_POSITIONS crystal
Na 0.7119 0.6583 0.5474
Na 0.5221 0.1811 0.7844
Na 0.8803 0.0964 0.0978
Na 0.8189 0.4779 0.7156
Na 0.3417 0.2881 0.9526
Na 0.2881 0.3417 0.4526
Na 0.9036 0.1197 0.4022
Na 0.0964 0.8803 0.5978
Na 0.1811 0.5221 0.2844
Na 0.1197 0.9036 0.9022
Na 0.4779 0.8189 0.2156
Na 0.6583 0.7119 0.0474
O 0.1462 0.3929 0.5935
O 0.9540 0.0460 0.2500
O 0.0460 0.9540 0.7500
O 0.6649 0.1196 0.5356
O 0.8804 0.3351 0.9644
O 0.5696 0.4871 0.8530
O 0.1196 0.6649 0.0356
O 0.6071 0.8538 0.9065
O 0.4871 0.5696 0.3530
O 0.5129 0.4304 0.6470
O 0.5099 0.9683 0.6770
O 0.3929 0.1462 0.0935
O 0.9683 0.5099 0.1771
O 0.3351 0.8804 0.4644
O 0.0317 0.4901 0.8230
O 0.4304 0.5129 0.1470
O 0.4901 0.0317 0.3230
O 0.8538 0.6071 0.4065
P 0.2295 0.4577 0.1132
P 0.7705 0.5423 0.8868
P 0.5423 0.7705 0.3868
P 0.4577 0.2295 0.6132
H 0.9312 0.2350 0.2268
H 0.7650 0.0688 0.2732
H 0.2350 0.9312 0.7268
H 0.0688 0.7650 0.7732

=====

No. 8
! NaPHO2 PBE relaxed; values from VASP
! - Energy above the lowest structure with this stoichiometry: 0.0 kJ per mole of atoms
! - Symmetry: P4/mmm (123)
! - Total magnetization: 0.34 μB/f.u.
! - DOS at the Fermi energy: 2.36 states/eV per cell
&SYSTEM
  ibrav = 0, nat = 5, ntyp = 4
/
ATOMIC_SPECIES
O 16.00 O.upf
P 30.97 P.upf
Na 22.99 Na.upf
H 1.01 H.upf
CELL_PARAMETERS angstrom
-1.0699 -1.3447 -3.6968
3.8428 0.4619 -1.2802
0.6042 -2.7445 0.8235
ATOMIC_POSITIONS crystal
O 0.0000 0.5000 0.0000
O 0.5000 0.0000 0.0000
P 0.0000 0.0000 0.5000
Na 0.5000 0.5000 0.5000
H 0.0000 0.0000 0.0000

=====

No. 9
! Na2P3HO9 PBE relaxed; values from VASP
! - Energy above the lowest structure with this stoichiometry: 0.0 kJ per mole of atoms
! - Symmetry: P-1 (2)
! - Total magnetization: 0.05 μB/f.u.
! - DOS at the Fermi energy: 0.00 states/eV per cell
&SYSTEM
  ibrav = 0, nat = 30, ntyp = 4
/
ATOMIC_SPECIES
O 16.00 O.upf
Na 22.99 Na.upf
P 30.97 P.upf
H 1.01 H.upf
CELL_PARAMETERS angstrom
-6.8855 0.4796 1.8994
-3.8080 -1.9793 -6.6482
-3.4632 -6.6833 2.6370
ATOMIC_POSITIONS crystal
O 0.6995 0.0704 0.3128
O 0.0798 0.3955 0.2347
O 0.3005 0.9296 0.6872
O 0.7266 0.3946 0.2376
O 0.7741 0.6438 0.3727
O 0.2734 0.6054 0.7624
O 0.2259 0.3562 0.6273
O 0.2349 0.6632 0.4545
O 0.8003 0.9270 0.6910
O 0.9563 0.8340 0.9321
O 0.1997 0.0730 0.3090
O 0.0437 0.1660 0.0679
O 0.7651 0.3368 0.5455
O 0.2652 0.7785 0.0088
O 0.7348 0.2215 0.9912
O 0.3992 0.2223 0.9835
O 0.6008 0.7777 0.0165
O 0.9202 0.6045 0.7653
Na 0.0070 0.1648 0.6512
Na 0.4871 0.8517 0.3513
Na 0.5129 0.1483 0.6487
Na 0.9930 0.8352 0.3488
P 0.7838 0.2042 0.1589
P 0.1906 0.2050 0.1580
P 0.8219 0.4511 0.3705
P 0.1781 0.5489 0.6295
P 0.8094 0.7950 0.8420
P 0.2162 0.7958 0.8411
H 0.5468 0.2230 0.9976
H 0.4532 0.7770 0.0024

=====

No. 10
! Na2PHO4 PBE relaxed; values from VASP
! - Energy above the lowest structure with this stoichiometry: 0.0 kJ per mole of atoms
! - Symmetry: P2_1 (4)
! - Total magnetization: 0.00 μB/f.u.
! - DOS at the Fermi energy: 0.00 states/eV per cell
&SYSTEM
  ibrav = 0, nat = 16, ntyp = 4
/
ATOMIC_SPECIES
H 1.01 H.upf
O 16.00 O.upf
Na 22.99 Na.upf
P 30.97 P.upf
CELL_PARAMETERS angstrom
-2.4705 3.3804 5.4818
-5.0498 -2.1037 -0.9786
-1.1890 -4.8334 2.4447
ATOMIC_POSITIONS crystal
H 0.9816 0.5313 0.9663
H 0.4816 0.4687 0.0337
O 0.5622 0.6933 0.7923
O 0.0622 0.3067 0.2077
O 0.4310 0.3058 0.2103
O 0.2468 0.6871 0.2432
O 0.2484 0.2034 0.6385
O 0.7468 0.3129 0.7568
O 0.7484 0.7966 0.3615
O 0.9310 0.6942 0.7897
Na 0.5011 0.9914 0.9974
Na 0.7509 0.2214 0.3927
Na 0.2509 0.7786 0.6073
Na 0.0011 0.0086 0.0026
P 0.2393 0.3827 0.3347
P 0.7393 0.6173 0.6653

=====

What is the DOS at the Fermi energy in the tenth record? 0.00 states/eV per cell